Nd8CuGe3Br4 | PBE | relaxed

a = 8.7544 Å, b = 8.7544 Å, c = 8.7544 Å
α = 58.69°, β = 58.69°, γ = 58.69°
Fractional coordinates of all 16 atoms:
1 Nd 0.2391 0.2391 0.2391
2 Nd 0.2425 0.7372 0.7372
3 Nd 0.2628 0.2628 0.7575
4 Nd 0.2628 0.7575 0.2628
5 Nd 0.7372 0.2425 0.7372
6 Nd 0.7372 0.7372 0.2425
7 Nd 0.7575 0.2628 0.2628
8 Nd 0.7609 0.7609 0.7609
9 Cu 0.5000 0.5000 0.5000
10 Ge 0.0000 0.0000 0.5000
11 Ge 0.0000 0.5000 0.0000
12 Ge 0.5000 0.0000 0.0000
13 Br 0.0000 0.0000 0.0000
14 Br 0.0000 0.5000 0.5000
15 Br 0.5000 0.0000 0.5000
16 Br 0.5000 0.5000 0.0000

Output
The uncorrected formation energy comes out at -1.02 eV/atom. The space group is R-3m (166). The crystal system is trigonal. The density of states at the Fermi level is 8.1 states/eV/cell.